No. 1
Compound: TcRuWI2
Source: Alexandria via LeMat-Bulk
Functional: PBE
Structure: relaxed

Values from the calculation:
Total energy ... -5.046 eV/atom

Structure (POSCAR):
```
TcRuWI2
1.0
5.346 0.000 0.000
0.000 4.868 0.000
0.000 0.000 5.346
I Ru Tc W
2 1 1 1
direct
0.000 0.000 0.500
0.500 0.000 0.000
0.500 0.500 0.500
0.000 0.500 0.000
0.000 0.000 0.000
```

No. 2
Compound: La8PrDy4
Source: Alexandria via LeMat-Bulk
Functional: PBE
Structure: relaxed

Values from the calculation:
Total energy ... -4.667 eV/atom
E_form ... 149 meV/atom

Structure (POSCAR):
```
La8PrDy4
1.0
6.456 0.000 -3.483
-4.167 6.037 -0.001
1.543 1.066 10.585
La Pr Dy
8 1 4
direct
0.576 0.788 0.364
0.424 0.212 0.636
0.492 0.246 0.291
0.955 0.201 0.709
0.508 0.754 0.709
0.955 0.754 0.709
0.045 0.246 0.291
0.045 0.799 0.291
0.000 0.500 0.500
0.000 0.000 0.000
0.000 0.500 0.000
0.500 0.500 0.000
0.500 0.000 0.000
```

No. 3
Compound: K2Pb2Au15
Source: Alexandria via LeMat-Bulk
Functional: PBE
Structure: relaxed

Values from the calculation:
Total energy ... -3.208 eV/atom
E_form ... -115 meV/atom

Structure (POSCAR):
```
K2Pb2Au15
1.0
-5.058 5.134 1.928
-1.677 -3.193 6.531
4.781 4.133 3.965
K Pb Au
2 2 15
direct
0.354 0.354 0.354
0.646 0.646 0.646
0.105 0.105 0.105
0.895 0.895 0.895
0.500 0.000 0.000
0.000 0.000 0.500
0.000 0.500 0.000
0.000 0.674 0.326
0.674 0.326 0.000
0.326 0.000 0.674
0.326 0.674 0.000
0.674 0.000 0.326
0.000 0.326 0.674
0.168 0.659 0.659
0.659 0.659 0.168
0.659 0.168 0.659
0.832 0.341 0.341
0.341 0.341 0.832
0.341 0.832 0.341
```

No. 4
Compound: NaNbCd2H
Source: Alexandria via LeMat-Bulk
Functional: PBE
Structure: relaxed

Values from the calculation:
Total energy ... -1.474 eV/atom

Structure (POSCAR):
```
NaNbCd2H
1.0
5.071 0.000 0.000
0.000 5.121 0.000
0.000 0.000 5.071
Na Nb H Cd
1 1 1 2
direct
0.000 0.000 0.000
0.000 0.500 0.000
0.500 0.500 0.500
0.000 0.000 0.500
0.500 0.000 0.000
```

No. 5
Compound: LiTlF2
Source: Alexandria via LeMat-Bulk
Functional: PBE
Structure: relaxed

Values from the calculation:
Total energy ... -3.906 eV/atom
Energy above the lowest structure with this stoichiometry ... 407 meV/atom

Structure (POSCAR):
```
LiTlF2
1.0
-2.481 0.958 3.607
-4.350 0.969 -0.466
-3.106 -2.902 1.417
Tl Li F
1 1 2
direct
0.500 0.500 0.500
0.000 0.000 0.000
0.250 0.250 0.250
0.750 0.750 0.750
```

No. 6
Compound: PmInMo
Source: Alexandria via LeMat-Bulk
Functional: PBE
Structure: relaxed

Values from the calculation:
Total energy ... -6.025 eV/atom
E_form ... 81 meV/atom

Structure (POSCAR):
```
PmInMo
1.0
-0.641 3.859 -0.761
-2.348 0.290 3.514
10.666 -3.850 2.067
Mo In Pm
2 2 2
direct
0.112 0.820 0.079
0.888 0.180 0.921
0.606 0.163 0.410
0.394 0.837 0.590
0.201 0.549 0.797
0.799 0.451 0.203
```

No. 7
Compound: Th4PtC2
Source: Alexandria via LeMat-Bulk
Functional: PBE
Structure: relaxed

Values from the calculation:
Total energy ... -8.268 eV/atom
E_form ... -530 meV/atom

Structure (POSCAR):
```
Th4PtC2
1.0
3.809 0.000 0.000
-1.905 6.201 0.000
0.000 0.000 13.409
C Pt Th
4 2 8
direct
0.136 0.272 0.436
0.864 0.728 0.936
0.136 0.272 0.064
0.864 0.728 0.564
0.609 0.217 0.750
0.391 0.783 0.250
0.774 0.548 0.108
0.774 0.548 0.392
0.226 0.452 0.892
0.226 0.452 0.608
0.931 0.862 0.750
0.069 0.138 0.250
0.500 0.000 0.000
0.500 0.000 0.500
```